Entry 1:
Below is Dy6Er3Tm2Pu after structural relaxation, with properties calculated at the GGA-PBE level.

Cell: 6.0839 10.5365 11.6009 Å, 90.00 100.08 90.00°
Space group C2/m (No. 12)
Unique sites:
Dy: 0.2475 0.0000 0.2519
Dy: 0.2476 0.1650 0.7482
Er: 0.0000 0.1673 0.0000
Er: 0.0000 0.5000 0.0000
Tm: 0.0000 0.3334 0.5000
Pu: 0.0000 0.0000 0.5000

Output
Final energy ... -128.13 eV/cell
D(E_F) ... 1.954 states/eV/atom

Entry 2:
Below is CaWS2 after structural relaxation, with properties calculated at the GGA-PBE level.

Cell: 3.4224 3.4224 25.8719 Å, 90.00 90.00 120.00°
Space group R-3m (No. 166, hexagonal axes)
Unique sites:
Ca: 0.0000 0.0000 0.0000
W: 0.0000 0.0000 0.5000
S: 0.0000 0.0000 0.1093

Output
Energy above the most stable polymorph in this dataset ... 0.1705 eV/atom
E_form (uncorrected) ... -0.3801 eV per atom
Final energy ... -74.19 eV/cell
D(E_F) ... 1.152 states/eV/atom

Entry 3:
Below is CePuInO6 after structural relaxation, with properties calculated at the GGA-PBE level.

Cell: 5.5634 5.5634 9.9113 Å, 90.00 90.00 120.00°
Space group P-31c (No. 163)
Unique sites:
Ce: 0.0000 0.0000 0.0000
Pu: 0.3333 0.6667 0.2500
In: 0.3333 0.6667 0.7500
O: 0.0095 0.3444 0.1327

Output
E_form (uncorrected) ... -2.5388 eV per atom
Final energy ... -151.20 eV/cell
D(E_F) ... 1.067 states/eV/atom

Entry 4:
Below is PmSmHg after structural relaxation, with properties calculated at the GGA-PBE level.

Cell: 9.1276 5.2801 8.2163 Å, 90.00 111.72 90.00°
Space group Cm (No. 8)
Unique sites:
Pm: 0.0000 0.0000 0.0000
Pm: 0.1642 0.0000 0.4962
Sm: 0.0859 0.5000 0.7617
Sm: 0.4219 0.0000 0.2661
Hg: 0.2264 0.5000 0.1784
Hg: 0.3598 0.5000 0.5845

Output
Energy above the most stable polymorph in this dataset ... 0.1359 eV/atom
Final energy ... -41.49 eV/cell
D(E_F) ... 1.080 states/eV/atom

Entry 5:
Below is OsPbCl2 after structural relaxation, with properties calculated at the GGA-PBE level.

Cell: 3.1859 3.1859 8.9462 Å, 90.00 90.00 90.00°
Space group P4/mmm (No. 123)
Unique sites:
Os: 0.0000 0.0000 0.0000
Pb: 0.0000 0.0000 0.5000
Cl: 0.5000 0.5000 0.1874

Output
Energy above the most stable polymorph in this dataset ... 0.6712 eV/atom
E_form (uncorrected) ... 0.7828 eV per atom
Final energy ... -15.50 eV/cell
D(E_F) ... 0.495 states/eV/atom

Entry 6:
Below is Ta2CuSb after structural relaxation, with properties calculated at the GGA-PBE level.

Cell: 3.8658 4.7045 7.8139 Å, 90.00 90.00 90.00°
Space group Cmmm (No. 65)
Unique sites:
Ta: 0.0000 0.0000 0.2245
Cu: 0.0000 0.5000 0.0000
Sb: 0.0000 0.5000 0.5000

Output
E_form (uncorrected) ... 0.2853 eV per atom
Final energy ... -61.56 eV/cell
D(E_F) ... 0.468 states/eV/atom

Entry 7:
Below is Sc3NbAu after structural relaxation, with properties calculated at the GGA-PBE level.

Cell: 4.9915 4.9915 4.9915 Å, 90.00 90.00 90.00°
Space group Pm-3m (No. 221)
Unique sites:
Sc: 0.0000 0.0000 0.5000
Nb: 0.0000 0.0000 0.0000
Au: 0.5000 0.5000 0.5000

Output
Energy above the most stable polymorph in this dataset ... 0.0036 eV/atom
Final energy ... -29.62 eV/cell
D(E_F) ... 0.853 states/eV/atom

Entry 8:
Below is Pu2MgNi3Ge4 after structural relaxation, with properties calculated at the GGA-PBE level.

Cell: 4.1269 4.1269 10.2217 Å, 90.00 90.00 90.00°
Space group P-4m2 (No. 115)
Unique sites:
Pu: 0.0000 0.5000 0.2367
Mg: 0.0000 0.0000 0.5000
Ni: 0.0000 0.5000 0.8829
Ni: 0.5000 0.5000 0.5000
Ge: 0.0000 0.0000 0.0000
Ge: 0.0000 0.5000 0.6542
Ge: 0.5000 0.5000 0.0000

Output
Final energy ... -70.48 eV/cell
D(E_F) ... 2.683 states/eV/atom

Entry 9:
Below is ZrRu3I after structural relaxation, with properties calculated at the GGA-PBE level.

Cell: 4.7445 4.7445 4.7445 Å, 90.00 90.00 90.00°
Space group Pm-3m (No. 221)
Unique sites:
Zr: 0.0000 0.0000 0.0000
Ru: 0.0000 0.5000 0.5000
I: 0.5000 0.5000 0.5000

Output
Energy above the most stable polymorph in this dataset ... 0.0000 eV/atom
E_form (uncorrected) ... 1.3989 eV per atom
Final energy ... -30.93 eV/cell
D(E_F) ... 1.970 states/eV/atom

Entry 10:
Below is CeDy3Ir2 after structural relaxation, with properties calculated at the GGA-PBE level.

Cell: 6.8324 13.6045 7.0434 Å, 90.00 90.00 90.00°
Space group Ibam (No. 72)
Unique sites:
Ce: 0.0000 0.0000 0.0000
Dy: 0.0000 0.2437 0.2500
Dy: 0.0000 0.5000 0.2500
Ir: 0.2293 0.3678 0.0000

Output
Final energy ... -164.87 eV/cell
D(E_F) ... 1.581 states/eV/atom

Entry 11:
Below is PaMnCu2 after structural relaxation, with properties calculated at the GGA-PBE level.

Cell: 4.2380 8.8592 6.8357 Å, 90.00 90.00 90.00°
Space group Cmcm (No. 63)
Unique sites:
Pa: 0.0000 0.0594 0.2500
Mn: 0.0000 0.1873 0.7500
Cu: 0.0000 0.3534 0.0539

Output
Energy above the most stable polymorph in this dataset ... 0.0000 eV/atom
Final energy ... -107.40 eV/cell
D(E_F) ... 0.909 states/eV/atom

Entry 12:
Below is NdCu2H8Ir after structural relaxation, with properties calculated at the GGA-PBE level.

Cell: 4.5972 4.6248 5.2076 Å, 80.02 88.04 88.72°
Space group P-1 (No. 2)
Unique sites:
Nd: 0.0000 0.0000 0.0000
Cu: 0.4948 0.5305 0.7645
H: 0.1030 0.5464 0.8009
H: 0.1986 0.1875 0.5220
H: 0.2802 0.7232 0.3792
H: 0.4908 0.2160 0.0434
Ir: 0.0000 0.5000 0.5000

Output
Final energy ... -51.27 eV/cell
D(E_F) ... 0.025 states/eV/atom

Entry 13:
Below is GdY2Cl after structural relaxation, with properties calculated at the GGA-PBE level.

Cell: 3.4719 3.4719 33.1514 Å, 90.00 90.00 120.00°
Space group R-3m (No. 166, hexagonal axes)
Unique sites:
Gd: 0.0000 0.0000 0.0000
Y: 0.0000 0.0000 0.1005
Cl: 0.0000 0.0000 0.5000

Output
E_form (uncorrected) ... -0.4069 eV per atom
Final energy ... -91.45 eV/cell
D(E_F) ... 1.313 states/eV/atom

Entry 14:
Below is La3Sb2N after structural relaxation, with properties calculated at the GGA-PBE level.

Cell: 11.8695 8.1148 8.2037 Å, 90.00 108.94 90.00°
Space group C2/c (No. 15)
Unique sites:
La: 0.0000 0.1259 0.2500
La: 0.1447 0.4621 0.9534
Sb: 0.1579 0.1823 0.6675
N: 0.0000 0.4074 0.2500

Output
Energy above the most stable polymorph in this dataset ... 0.0000 eV/atom
E_form (uncorrected) ... -1.2255 eV per atom
Final energy ... -154.82 eV/cell

Entry 15:
Below is KHgS2O8 after structural relaxation, with properties calculated at the GGA-PBE level.

Cell: 5.0445 5.0445 8.5819 Å, 90.00 90.00 120.00°
Space group P-3 (No. 147)
Unique sites:
K: 0.0000 0.0000 0.0000
Hg: 0.0000 0.0000 0.5000
S: 0.3333 0.6667 0.7341
O: 0.0586 0.3803 0.6771
O: 0.3333 0.6667 0.9059

Output
E_form (uncorrected) ... -1.2069 eV per atom
Final energy ... -63.80 eV/cell
D(E_F) ... 0.719 states/eV/atom

Entry 16:
Below is Er4In3Tc after structural relaxation, with properties calculated at the GGA-PBE level.

Cell: 3.5466 3.5466 15.5457 Å, 90.00 90.00 90.00°
Space group P4/mmm (No. 123)
Unique sites:
Er: 0.0000 0.0000 0.1012
Er: 0.0000 0.0000 0.3664
In: 0.5000 0.5000 0.2339
In: 0.5000 0.5000 0.5000
Tc: 0.5000 0.5000 0.0000

Output
Final energy ... -39.81 eV/cell
D(E_F) ... 0.883 states/eV/atom

Entry 17:
Below is MnCo2Au after structural relaxation, with properties calculated at the GGA-PBE level.

Cell: 2.7741 3.4551 5.6082 Å, 90.00 90.00 90.00°
Space group Pmm2 (No. 25)
Unique sites:
Mn: 0.0000 0.0000 0.0000
Co: 0.0000 0.0000 0.5691
Co: 0.5000 0.5000 0.7633
Au: 0.5000 0.5000 0.2823

Output
Final energy ... -26.19 eV/cell
D(E_F) ... 1.011 states/eV/atom

Entry 18:
Below is TmHf3P4 after structural relaxation, with properties calculated at the GGA-PBE level.

Cell: 7.5246 10.6158 3.7452 Å, 90.00 90.00 90.00°
Space group Cmmm (No. 65)
Unique sites:
Tm: 0.0000 0.0000 0.0000
Hf: 0.0000 0.5000 0.0000
Hf: 0.2500 0.2500 0.5000
P: 0.0000 0.2542 0.0000
P: 0.2416 0.5000 0.5000

Output
Final energy ... -133.22 eV/cell
D(E_F) ... 0.333 states/eV/atom

Entry 19:
Below is AlBi3F after structural relaxation, with properties calculated at the GGA-PBE level.

Cell: 5.1068 5.1068 5.1068 Å, 90.00 90.00 90.00°
Space group Pm-3m (No. 221)
Unique sites:
Al: 0.0000 0.0000 0.0000
Bi: 0.0000 0.5000 0.5000
F: 0.5000 0.5000 0.5000

Output
Energy above the most stable polymorph in this dataset ... 0.0000 eV/atom
E_form (uncorrected) ... -0.1206 eV per atom
Final energy ... -17.86 eV/cell
D(E_F) ... 0.858 states/eV/atom

Entry 20:
Below is BOsSCl2 after structural relaxation, with properties calculated at the GGA-PBE level.

Cell: 4.0668 4.0668 4.7404 Å, 90.00 90.00 90.00°
Space group P4/mmm (No. 123)
Unique sites:
B: 0.0000 0.0000 0.0000
Os: 0.5000 0.5000 0.5000
S: 0.0000 0.0000 0.5000
Cl: 0.0000 0.5000 0.0000

Output
Energy above the most stable polymorph in this dataset ... 0.2830 eV/atom
E_form (uncorrected) ... 1.3634 eV per atom
Final energy ... -18.91 eV/cell
D(E_F) ... 0.893 states/eV/atom

Entry 21:
Below is TmPuFeTc after structural relaxation, with properties calculated at the GGA-PBE level.

Cell: 6.6917 6.6917 6.6917 Å, 90.00 90.00 90.00°
Space group F-43m (No. 216)
Unique sites:
Tm: 0.0000 0.0000 0.0000
Pu: 0.0000 0.0000 0.5000
Fe: 0.2500 0.2500 0.2500
Tc: 0.2500 0.2500 0.7500

Output
Final energy ... -150.26 eV/cell
D(E_F) ... 1.549 states/eV/atom

Entry 22:
Below is TbGdDyOs after structural relaxation, with properties calculated at the GGA-PBE level.

Cell: 7.2631 7.2631 7.2631 Å, 90.00 90.00 90.00°
Space group F-43m (No. 216)
Unique sites:
Tb: 0.0000 0.0000 0.0000
Gd: 0.0000 0.0000 0.5000
Dy: 0.2500 0.2500 0.2500
Os: 0.2500 0.2500 0.7500

Output
Final energy ... -135.69 eV/cell
D(E_F) ... 1.316 states/eV/atom

Entry 23:
Below is MnBeBMo2 after structural relaxation, with properties calculated at the GGA-PBE level.

Cell: 4.1614 4.1614 3.6788 Å, 90.00 90.00 90.00°
Space group P4/mmm (No. 123)
Unique sites:
Mn: 0.0000 0.0000 0.0000
Be: 0.0000 0.0000 0.5000
B: 0.5000 0.5000 0.0000
Mo: 0.0000 0.5000 0.5000

Output
Final energy ... -35.06 eV/cell
D(E_F) ... 1.330 states/eV/atom

Entry 24:
Below is La9TbTm2 after structural relaxation, with properties calculated at the GGA-PBE level.

Cell: 5.1921 5.1921 15.5759 Å, 90.00 90.00 90.00°
Space group P4/mmm (No. 123)
Unique sites:
La: 0.0000 0.0000 0.0000
La: 0.0000 0.0000 0.3336
La: 0.0000 0.5000 0.1674
La: 0.0000 0.5000 0.5000
Tb: 0.5000 0.5000 0.0000
Tm: 0.5000 0.5000 0.3338

Output
Final energy ... -57.84 eV/cell
D(E_F) ... 1.234 states/eV/atom

Entry 25:
Below is SbW2Br after structural relaxation, with properties calculated at the GGA-PBE level.

Cell: 8.2575 3.1375 8.5501 Å, 90.00 108.23 90.00°
Space group Cm (No. 8)
Unique sites:
Sb: 0.0000 0.0000 0.0000
W: 0.0446 0.5000 0.3250
W: 0.2705 0.5000 0.1858
Br: 0.1402 0.0000 0.5774

Output
Energy above the most stable polymorph in this dataset ... 0.2373 eV/atom
E_form (uncorrected) ... 0.4376 eV per atom
Final energy ... -59.90 eV/cell
D(E_F) ... 0.264 states/eV/atom